# PBE-GGA Hf2CdF, relaxed
data_Hf2CdF
_chemical_formula_sum 'Hf8 Cd4 F4'
_symmetry_space_group_name_H-M 'I -4 2 d'
_symmetry_Int_Tables_number 122
_symmetry_space_group_name_Hall 'I -4 2bw'
_cell_length_a 5.225
_cell_length_b 5.225
_cell_length_c 13.101
_cell_angle_alpha 90.00
_cell_angle_beta 90.00
_cell_angle_gamma 90.00
loop_
_atom_site_label
_atom_site_type_symbol
_atom_site_fract_x
_atom_site_fract_y
_atom_site_fract_z
Hf1 Hf 0.125 0.250 0.125
Cd1 Cd 0.000 0.000 0.500
F1 F 0.000 0.000 0.000
# Total magnetic moment = 0.00 μB per formula unit
# Polymorph energy (0 for the lowest one) = 0.109 eV per atom
# Formation energy from raw total energies = -0.174 eV per atom

=====

# PBE-GGA HfCd2F8, relaxed
data_HfCd2F8
_chemical_formula_sum 'Hf2 Cd4 F16'
_symmetry_space_group_name_H-M 'C 1 2/m 1'
_symmetry_Int_Tables_number 12
_symmetry_space_group_name_Hall '-C 2y'
_cell_length_a 11.441
_cell_length_b 3.754
_cell_length_c 8.141
_cell_angle_alpha 90.00
_cell_angle_beta 104.78
_cell_angle_gamma 90.00
loop_
_atom_site_label
_atom_site_type_symbol
_atom_site_fract_x
_atom_site_fract_y
_atom_site_fract_z
Hf1 Hf 0.000 0.000 0.000
Cd1 Cd 0.239 0.000 0.685
F1 F 0.051 0.500 0.140
F2 F 0.088 0.000 0.814
F3 F 0.168 0.500 0.532
F4 F 0.184 0.000 0.139
# Total magnetic moment = 0.16 μB per formula unit
# Polymorph energy (0 for the lowest one) = 0.000 eV per atom
# Formation energy from raw total energies = -2.870 eV per atom

=====

# PBE-GGA HfCd2F8, relaxed
data_HfCd2F8
_chemical_formula_sum 'Hf2 Cd4 F16'
_symmetry_space_group_name_H-M 'C 1 2/m 1'
_symmetry_Int_Tables_number 12
_symmetry_space_group_name_Hall '-C 2y'
_cell_length_a 15.375
_cell_length_b 3.655
_cell_length_c 5.098
_cell_angle_alpha 90.00
_cell_angle_beta 104.07
_cell_angle_gamma 90.00
loop_
_atom_site_label
_atom_site_type_symbol
_atom_site_fract_x
_atom_site_fract_y
_atom_site_fract_z
Hf1 Hf 0.000 0.000 0.000
Cd1 Cd 0.173 0.500 0.663
F1 F 0.020 0.500 0.796
F2 F 0.089 0.000 0.374
F3 F 0.126 0.000 0.912
F4 F 0.233 0.500 0.284
# Total magnetic moment = 0.15 μB per formula unit
# Polymorph energy (0 for the lowest one) = 0.032 eV per atom
# Formation energy from raw total energies = -2.838 eV per atom

=====

# PBE-GGA HfCd3F, relaxed
data_HfCd3F
_chemical_formula_sum 'Hf1 Cd3 F1'
_symmetry_space_group_name_H-M 'P m -3 m'
_symmetry_Int_Tables_number 221
_symmetry_space_group_name_Hall '-P 4 2 3'
_cell_length_a 4.725
_cell_length_b 4.725
_cell_length_c 4.725
_cell_angle_alpha 90.00
_cell_angle_beta 90.00
_cell_angle_gamma 90.00
loop_
_atom_site_label
_atom_site_type_symbol
_atom_site_fract_x
_atom_site_fract_y
_atom_site_fract_z
Hf1 Hf 0.000 0.000 0.000
Cd1 Cd 0.000 0.500 0.500
F1 F 0.500 0.500 0.500
# Total magnetic moment = 0.00 μB per formula unit
# Polymorph energy (0 for the lowest one) = 0.000 eV per atom
# Formation energy from raw total energies = -0.142 eV per atom

=====

# PBE-GGA HfMgCd2F, relaxed
data_HfMgCd2F
_chemical_formula_sum 'Hf1 Mg1 Cd2 F1'
_symmetry_space_group_name_H-M 'P 4/m m m'
_symmetry_Int_Tables_number 123
_symmetry_space_group_name_Hall '-P 4 2'
_cell_length_a 4.954
_cell_length_b 4.954
_cell_length_c 4.299
_cell_angle_alpha 90.00
_cell_angle_beta 90.00
_cell_angle_gamma 90.00
loop_
_atom_site_label
_atom_site_type_symbol
_atom_site_fract_x
_atom_site_fract_y
_atom_site_fract_z
Hf1 Hf 0.000 0.000 0.000
Mg1 Mg 0.500 0.500 0.000
Cd1 Cd 0.000 0.500 0.500
F1 F 0.000 0.000 0.500
# Total magnetic moment = 0.00 μB per formula unit
# Formation energy from raw total energies = -0.362 eV per atom